1.
Entry from Alexandria: crystalline LaHoSnHg at its relaxed geometry (PBE).

Cell lengths 7.656, 7.656, 7.656 Å; angles 90.00, 90.00, 90.00 degrees
Element x y z (fractional)
La  0.000  0.000  0.000
La  0.000  0.500  0.500
La  0.500  0.000  0.500
La  0.500  0.500  0.000
Ho  0.000  0.000  0.500
Ho  0.000  0.500  0.000
Ho  0.500  0.000  0.000
Ho  0.500  0.500  0.500
Sn  0.250  0.250  0.250
Sn  0.250  0.750  0.750
Sn  0.750  0.250  0.750
Sn  0.750  0.750  0.250
Hg  0.250  0.250  0.750
Hg  0.250  0.750  0.250
Hg  0.750  0.250  0.250
Hg  0.750  0.750  0.750

Output
* ΔH_f (0 K): -0.59 eV/atom
* final energy: -0.1486 Ha/atom
* calculated density: 9.2 g/cm3

2.
Entry from Alexandria: crystalline LaTb2HoHg4 at its relaxed geometry (PBE).

Cell lengths 9.322, 9.322, 9.322 Å; angles 33.14, 33.14, 33.14 degrees
Element x y z (fractional)
La  0.000  0.000  0.000
Tb  0.249  0.249  0.249
Tb  0.751  0.751  0.751
Ho  0.500  0.500  0.500
Hg  0.128  0.128  0.128
Hg  0.380  0.380  0.380
Hg  0.620  0.620  0.620
Hg  0.872  0.872  0.872

Output
* ΔH_f (0 K): -0.47 eV/atom
* final energy: -0.1091 Ha/atom
* calculated density: 11.0 g/cm3

3.
Entry from Alexandria: crystalline La2HoHgTe5 at its relaxed geometry (PBE).

Cell lengths 9.828, 9.828, 13.603 Å; angles 90.00, 90.00, 153.85 degrees
Element x y z (fractional)
La  0.120  0.880  0.500
La  0.126  0.874  0.121
La  0.874  0.126  0.621
La  0.880  0.120  0.000
Ho  0.192  0.808  0.820
Ho  0.808  0.192  0.320
Hg  0.436  0.564  0.281
Hg  0.564  0.436  0.781
Te  0.041  0.959  0.907
Te  0.292  0.708  0.478
Te  0.300  0.700  0.155
Te  0.354  0.646  0.815
Te  0.498  0.502  0.093
Te  0.502  0.498  0.593
Te  0.646  0.354  0.315
Te  0.700  0.300  0.655
Te  0.708  0.292  0.978
Te  0.959  0.041  0.407

Output
* raw formation energy: -116 kJ per mole of atoms
* final energy: -0.1685 Ha/atom
* calculated density: 7.3 g/cm3

4.
Entry from Alexandria: crystalline LaHo2Tl2Hg2 at its relaxed geometry (PBE).

Cell lengths 9.460, 9.460, 9.460 Å; angles 30.83, 30.83, 30.83 degrees
Element x y z (fractional)
La  0.000  0.000  0.000
Ho  0.134  0.134  0.134
Ho  0.866  0.866  0.866
Tl  0.268  0.268  0.268
Tl  0.732  0.732  0.732
Hg  0.438  0.438  0.438
Hg  0.562  0.562  0.562

Output
* ΔH_f (0 K): -0.25 eV/atom
* final energy: -0.1113 Ha/atom
* calculated density: 10.8 g/cm3

5.
Entry from Alexandria: crystalline LaHoTm2Hg4 at its relaxed geometry (PBE).

Cell lengths 9.267, 9.267, 9.267 Å; angles 33.07, 33.07, 33.07 degrees
Element x y z (fractional)
La  0.000  0.000  0.000
Ho  0.500  0.500  0.500
Tm  0.248  0.248  0.248
Tm  0.752  0.752  0.752
Hg  0.128  0.128  0.128
Hg  0.380  0.380  0.380
Hg  0.620  0.620  0.620
Hg  0.872  0.872  0.872

Output
* ΔH_f (0 K): -0.47 eV/atom
* final energy: -0.1074 Ha/atom
* calculated density: 11.4 g/cm3

6.
Entry from Alexandria: crystalline LaHo2TmHg4 at its relaxed geometry (PBE).

Cell lengths 9.310, 9.310, 9.310 Å; angles 32.92, 32.92, 32.92 degrees
Element x y z (fractional)
La  0.000  0.000  0.000
Ho  0.248  0.248  0.248
Ho  0.752  0.752  0.752
Tm  0.500  0.500  0.500
Hg  0.128  0.128  0.128
Hg  0.381  0.381  0.381
Hg  0.619  0.619  0.619
Hg  0.872  0.872  0.872

Output
* ΔH_f (0 K): -0.47 eV/atom
* final energy: -0.1079 Ha/atom
* calculated density: 11.3 g/cm3

7.
Entry from Alexandria: crystalline La2Y2HoHg5 at its relaxed geometry (PBE).

Cell lengths 12.147, 12.147, 3.904 Å; angles 90.00, 90.00, 90.00 degrees
Element x y z (fractional)
La  0.168  0.332  0.000
La  0.332  0.832  0.000
La  0.668  0.168  0.000
La  0.832  0.668  0.000
Y  0.134  0.634  0.000
Y  0.366  0.134  0.000
Y  0.634  0.866  0.000
Y  0.866  0.366  0.000
Ho  0.000  0.000  0.000
Ho  0.500  0.500  0.000
Hg  0.000  0.500  0.500
Hg  0.097  0.829  0.500
Hg  0.171  0.097  0.500
Hg  0.329  0.597  0.500
Hg  0.403  0.329  0.500
Hg  0.500  0.000  0.500
Hg  0.597  0.671  0.500
Hg  0.671  0.403  0.500
Hg  0.829  0.903  0.500
Hg  0.903  0.171  0.500

Output
* ΔH_f (0 K): -0.36 eV/atom
* final energy: -0.1192 Ha/atom
* calculated density: 9.4 g/cm3

8.
Entry from Alexandria: crystalline La2YHoHg2 at its relaxed geometry (PBE).

Cell lengths 5.171, 9.643, 7.200 Å; angles 90.00, 90.00, 90.00 degrees
Element x y z (fractional)
La  0.000  0.057  0.000
La  0.000  0.943  0.500
La  0.500  0.171  0.309
La  0.500  0.829  0.809
Y  0.500  0.447  0.967
Y  0.500  0.553  0.467
Ho  0.000  0.329  0.653
Ho  0.000  0.671  0.153
Hg  0.000  0.366  0.224
Hg  0.000  0.634  0.724
Hg  0.500  0.165  0.749
Hg  0.500  0.835  0.249

Output
* ΔH_f (0 K): -0.35 eV/atom
* final energy: -0.1445 Ha/atom
* calculated density: 8.6 g/cm3

9.
Entry from Alexandria: crystalline LaHoZnHg at its relaxed geometry (PBE).

Cell lengths 7.507, 7.507, 7.507 Å; angles 90.00, 90.00, 90.00 degrees
Element x y z (fractional)
La  0.000  0.000  0.000
La  0.000  0.500  0.500
La  0.500  0.000  0.500
La  0.500  0.500  0.000
Ho  0.000  0.000  0.500
Ho  0.000  0.500  0.000
Ho  0.500  0.000  0.000
Ho  0.500  0.500  0.500
Zn  0.250  0.250  0.750
Zn  0.250  0.750  0.250
Zn  0.750  0.250  0.250
Zn  0.750  0.750  0.750
Hg  0.250  0.250  0.250
Hg  0.250  0.750  0.750
Hg  0.750  0.250  0.750
Hg  0.750  0.750  0.250

Output
* ΔH_f (0 K): -0.37 eV/atom
* final energy: -0.1154 Ha/atom
* E above lowest polymorph: 0.0394 eV per atom
* calculated density: 8.9 g/cm3

10.
Entry from Alexandria: crystalline LaHoZnHg at its relaxed geometry (PBE).

Cell lengths 3.671, 3.671, 7.685 Å; angles 90.00, 90.00, 90.00 degrees
Element x y z (fractional)
La  0.000  0.000  0.000
Ho  0.000  0.000  0.467
Zn  0.500  0.500  0.258
Hg  0.500  0.500  0.705

Output
* ΔH_f (0 K): -0.41 eV/atom
* final energy: -0.1169 Ha/atom
* E above lowest polymorph: 0.0000 eV per atom
* calculated density: 9.1 g/cm3

11.
Entry from Alexandria: crystalline LaHo2Zn2Hg2 at its relaxed geometry (PBE).

Cell lengths 9.520, 9.520, 9.520 Å; angles 28.88, 28.88, 28.88 degrees
Element x y z (fractional)
La  0.000  0.000  0.000
Ho  0.127  0.127  0.127
Ho  0.873  0.873  0.873
Zn  0.409  0.409  0.409
Zn  0.591  0.591  0.591
Hg  0.254  0.254  0.254
Hg  0.746  0.746  0.746

Output
* ΔH_f (0 K): -0.30 eV/atom
* final energy: -0.1015 Ha/atom
* calculated density: 9.3 g/cm3

12.
Entry from Alexandria: crystalline LiHo3Hg2 at its relaxed geometry (PBE).

Cell lengths 5.111, 15.657, 3.772 Å; angles 90.00, 90.00, 90.00 degrees
Element x y z (fractional)
Li  0.000  0.000  0.000
Li  0.500  0.500  0.000
Ho  0.000  0.169  0.500
Ho  0.000  0.500  0.500
Ho  0.000  0.831  0.500
Ho  0.500  0.000  0.500
Ho  0.500  0.331  0.500
Ho  0.500  0.669  0.500
Hg  0.000  0.344  0.000
Hg  0.000  0.656  0.000
Hg  0.500  0.156  0.000
Hg  0.500  0.844  0.000

Output
* ΔH_f (0 K): -0.32 eV/atom
* final energy: -0.1111 Ha/atom
* calculated density: 9.9 g/cm3